1.
A plane-wave DFT calculation with GGA-PBE was carried out for a relaxed CuMo2N crystal.

Cell: 8.311 8.311 8.311 Å, 19.15 19.15 19.15°
Positions (direct):
Cu 0.000 0.000 0.000
Mo 0.108 0.108 0.108
Mo 0.892 0.892 0.892
N 0.500 0.500 0.500

Summary:
spin magnetization = 0.00 μB/atom
calculated total energy = -8.1324 eV per atom
uncorrected formation energy = 0.39 eV/atom
theoretical density = 8.3 g cm⁻³


2.
A plane-wave DFT calculation with GGA-PBE was carried out for a relaxed ScB2Pb crystal.

Cell: 4.470 4.470 4.470 Å, 60.00 60.00 60.00°
Positions (direct):
Sc 0.000 0.000 0.000
B 0.250 0.250 0.250
B 0.750 0.750 0.750
Pb 0.500 0.500 0.500

Summary:
spin magnetization = 0.00 μB/atom
calculated total energy = -4.8040 eV per atom
excess energy over the best structure of this formula in the dataset = 0.176 eV per atom
theoretical density = 7.2 g cm⁻³
formation energy = 4.2 eV per formula unit